Below is EuYCo4 after structural relaxation, with properties calculated at the GGA-PBE level.

Computed properties:
Formation energy from the elements (eV per formula unit): -0.28
Magnetic moment (μB/atom): 0.379
Electronic total energy (eV per atom): -7.5734

Cell lengths 5.127, 5.127, 5.127 Å; angles 60.00, 60.00, 60.00 degrees
Atoms (fractional coordinates):
Eu: 0.000 0.000 0.000
Y: 0.250 0.250 0.250
Co: 0.126 0.625 0.625
Co: 0.625 0.126 0.625
Co: 0.625 0.625 0.126
Co: 0.625 0.625 0.625